8
Lattice="3.711 0.000 0.000 0.000 7.573 0.000 0.000 0.000 6.136" Properties=species:S:1:pos:R:3 comment="KCoSO, optimized geometry, DFT GGA+U" density_g_cm3=2.81 polymorph_energy_mev_per_atom=0 spacegroup=Pmc2_1 pbc="T T T"
K 0.000 1.481 0.000
K 0.000 6.092 3.068
Co 1.855 3.004 2.672
Co 1.855 4.569 5.740
S 0.000 1.689 3.092
S 0.000 5.885 0.025
O 1.855 3.197 0.821
O 1.855 4.376 3.889